(1)
Ti4AsC2: optimized geometry, PBE-GGA.

a b c (Å): 3.2348 10.3267 10.8653
angles (deg): 90.00 90.00 90.00
Last column: nearest neighbours and their distance in Å.
Space group Cmcm (No. 63)
Unique sites:
1 Ti 0.0000 0.0000 0.0000 x4  4 C 2.23
2 Ti 0.0000 0.2614 0.1057 x8  3 C 2.11-2.14
3 Ti 0.0000 0.4222 0.7500 x4  2 C 2.13
4 As 0.0000 0.1091 0.7500 x4  6 Ti 2.52-2.62
5 C 0.0000 0.3655 0.5616 x8  6 Ti 2.11-2.23

Calculated values
The calculated formation energy comes out at -0.8640 eV/atom. For the mass density, the calculation gives 5.31 g/cm³. For the raw total energy, the calculation gives -8.6750 eV per atom.

=====

(2)
TaTi: optimized geometry, PBE-GGA.

a b c (Å): 9.7413 9.7413 2.8198
angles (deg): 90.00 90.00 120.00
Last column: nearest neighbours and their distance in Å.
Space group P6_3/m (No. 176)
Unique sites:
1 Ta 0.1443 0.6215 0.2500 x6  4 Ti 2.79-2.90, 6 Ta 2.82-2.97
2 Ti 0.0580 0.2900 0.2500 x6  4 Ta 2.79-2.90, 6 Ti 2.82-2.95

Calculated values
The calculated formation energy comes out at 0.4294 eV/atom. For the mass density, the calculation gives 9.84 g/cm³. For the raw total energy, the calculation gives -9.4444 eV per atom.

=====

Q: The highest raw total energy belongs to which entry?
A: Ti4AsC2